Model P:
TmScCd: optimized geometry, PBE.

a = 6.996 Å, b = 6.996 Å, c = 6.996 Å
α = 90.00°, β = 90.00°, γ = 90.00°
Space group F-43m (No. 216)
Symmetry-distinct sites (fractional):
1 Tm 0.000 0.000 0.000 (multiplicity 4)
2 Sc 0.250 0.250 0.250 (multiplicity 4)
3 Cd 0.250 0.250 0.750 (multiplicity 4)

=====

Model Q:
TmScCd: optimized geometry, PBE.

a = 6.951 Å, b = 6.951 Å, c = 6.951 Å
α = 90.00°, β = 90.00°, γ = 90.00°
Space group F-43m (No. 216)
Symmetry-distinct sites (fractional):
1 Tm 0.000 0.000 0.000 (multiplicity 4)
2 Sc 0.250 0.250 0.750 (multiplicity 4)
3 Cd 0.000 0.000 0.500 (multiplicity 4)

=====

List of relative energies, unit meV/atom: model P 91; model Q 0